Entry 1:
First-principles (meta-GGA SCAN) data for RbNaC3 at its PBEsol-relaxed geometry, as listed in Alexandria.

```
data_RbNaC3
_chemical_formula_sum 'Rb1 Na1 C3'
_cell_length_a 5.006
_cell_length_b 5.006
_cell_length_c 5.006
_cell_angle_alpha 90.00
_cell_angle_beta 90.00
_cell_angle_gamma 90.00
_space_group_name_H-M_alt 'P m -3 m'
_space_group_IT_number 221
_space_group_name_Hall '-P 4 2 3'
loop_
_atom_site_label
_atom_site_type_symbol
_atom_site_fract_x
_atom_site_fract_y
_atom_site_fract_z
Rb1 Rb 0.000 0.000 0.000
Na1 Na 0.500 0.500 0.500
C1 C 0.000 0.500 0.500
```

Calculated values
Crystal system ... cubic
Formation energy ... 3.152 eV per atom

***

Entry 2:
First-principles (meta-GGA SCAN) data for CrRhBr2 at its PBEsol-relaxed geometry, as listed in Alexandria.

```
data_CrRhBr2
_chemical_formula_sum 'Cr2 Rh2 Br4'
_cell_length_a 12.672
_cell_length_b 3.265
_cell_length_c 4.278
_cell_angle_alpha 90.00
_cell_angle_beta 99.29
_cell_angle_gamma 90.00
_space_group_name_H-M_alt 'C 1 2/m 1'
_space_group_IT_number 12
loop_
_space_group_symop_operation_xyz
'x,y,z'
'-x,-y,-z'
'-x,y,-z'
'x,-y,z'
'x+1/2,y+1/2,z'
'-x+1/2,-y+1/2,-z'
'-x+1/2,y+1/2,-z'
'x+1/2,-y+1/2,z'
loop_
_atom_site_label
_atom_site_type_symbol
_atom_site_fract_x
_atom_site_fract_y
_atom_site_fract_z
Cr1 Cr 0.000 0.000 0.000
Rh1 Rh 0.000 0.500 0.500
Br1 Br 0.145 0.500 0.202
```

Calculated values
Uncorrected formation energy ... -0.171 eV/atom
Crystal system ... monoclinic

***

Entry 3:
First-principles (meta-GGA SCAN) data for YNiHg at its PBEsol-relaxed geometry, as listed in Alexandria.

```
data_YNiHg
_chemical_formula_sum 'Y1 Ni1 Hg1'
_cell_length_a 4.4340
_cell_length_b 4.4340
_cell_length_c 3.5030
_cell_angle_alpha 90.00
_cell_angle_beta 90.00
_cell_angle_gamma 120.00
_space_group_name_H-M_alt 'P -6 m 2'
_space_group_IT_number 187
_space_group_name_Hall 'P -6 2'
loop_
_atom_site_label
_atom_site_type_symbol
_atom_site_fract_x
_atom_site_fract_y
_atom_site_fract_z
Y1 Y 0.0000 0.0000 0.0000
Ni1 Ni 0.6667 0.3333 0.5000
Hg1 Hg 0.3333 0.6667 0.5000
```

Calculated values
Crystal system ... hexagonal
Formation energy ... -0.431 eV per atom

***

Entry 4:
First-principles (meta-GGA SCAN) data for Tl2CrW at its PBEsol-relaxed geometry, as listed in Alexandria.

```
data_Tl2CrW
_chemical_formula_sum 'Tl4 Cr2 W2'
_cell_length_a 12.059
_cell_length_b 2.969
_cell_length_c 4.706
_cell_angle_alpha 90.00
_cell_angle_beta 112.63
_cell_angle_gamma 90.00
_space_group_name_H-M_alt 'C 1 m 1'
_space_group_IT_number 8
loop_
_space_group_symop_operation_xyz
'x,y,z'
'x,-y,z'
'x+1/2,y+1/2,z'
'x+1/2,-y+1/2,z'
loop_
_atom_site_label
_atom_site_type_symbol
_atom_site_fract_x
_atom_site_fract_y
_atom_site_fract_z
Tl1 Tl 0.000 0.000 0.000
Tl2 Tl 0.215 0.000 0.719
Cr1 Cr 0.467 0.000 0.467
W1 W 0.307 0.500 0.310
```

Calculated values
Crystal system ... monoclinic
Formation energy ... 0.868 eV per atom

***

What are the size of the total moment values for these records? In order: 8.00 6.30 0.00 0.01 Bohr magnetons per cell.